1.
The following is a DFT calculation (SCAN) of AlP2 at its PBEsol-relaxed geometry.

POSCAR file:
```
AlP2
1.0
-3.299 -1.404 -2.121
-2.321 -3.086 1.562
-3.851 0.784 1.381
P Al
2 1
Cartesian
-7.103 -2.780 0.617 P
-2.368 -0.927 0.206 P
0.000 0.000 0.000 Al
```

Its space group is No. 225. The calculation puts the density of states at the Fermi level at 0.562 states/eV per atom. As for the volume: 17.04 Å³ per atom. For the final energy, the calculation gives -27.776 eV/cell. For the formation energy, the calculation gives 0.258 eV/atom.


2.
The following is a DFT calculation (SCAN) of CaMnOs at its PBEsol-relaxed geometry.

POSCAR file:
```
CaMnOs
1.0
3.871 0.000 0.000
-1.936 3.353 0.000
0.000 0.000 4.662
Ca Mn Os
1 1 1
Cartesian
0.000 0.000 2.331 Ca
1.936 1.118 0.000 Mn
0.000 2.235 0.000 Os
```

Its space group is No. 187. The calculation puts the density of states at the Fermi level at 0.866 states/eV per atom. As for the volume: 20.17 Å³ per atom. For the final energy, the calculation gives -98.895 eV/cell. For the formation energy, the calculation gives 0.301 eV/atom.


3.
The following is a DFT calculation (SCAN) of La3AgHg at its PBEsol-relaxed geometry.

POSCAR file:
```
La3AgHg
1.0
-3.351 -0.500 4.568
-3.162 -3.851 -2.741
3.334 -4.154 1.991
Hg Ag La
1 1 3
Cartesian
-1.589 -4.253 1.909 Hg
0.000 0.000 0.000 Ag
-1.581 -1.926 -1.370 La
1.667 -2.077 0.996 La
-1.675 -0.250 2.284 La
```

Its space group is No. 221. The calculation puts the density of states at the Fermi level at 1.116 states/eV per atom. As for the volume: 36.78 Å³ per atom. For the final energy, the calculation gives -228.164 eV/cell. For the formation energy, the calculation gives 0.137 eV/atom.


4.
The following is a DFT calculation (SCAN) of Zn2AgHg at its PBEsol-relaxed geometry.

POSCAR file:
```
Zn2AgHg
1.0
3.425 0.000 0.000
0.000 3.425 0.000
0.000 0.000 5.654
Zn Hg Ag
2 1 1
Cartesian
0.000 0.000 0.061 Zn
1.712 1.712 1.432 Zn
1.712 1.712 4.302 Hg
0.000 0.000 2.688 Ag
```

Its space group is No. 99. The calculation puts the density of states at the Fermi level at 0.234 states/eV per atom. As for the volume: 16.58 Å³ per atom. For the final energy, the calculation gives -126.308 eV/cell. For the formation energy, the calculation gives 0.064 eV/atom.


5.
The following is a DFT calculation (SCAN) of TcHg3Te at its PBEsol-relaxed geometry.

POSCAR file:
```
TcHg3Te
1.0
-0.517 -5.108 -0.893
2.494 -1.032 4.458
-4.547 0.015 2.547
Te Hg Tc
1 3 1
Cartesian
-1.285 -3.062 3.056 Te
1.247 -0.516 2.229 Hg
-2.273 0.008 1.273 Hg
-0.259 -2.554 -0.446 Hg
0.000 0.000 0.000 Tc
```

Its space group is No. 221. The calculation puts the density of states at the Fermi level at 0.442 states/eV per atom. As for the volume: 28.31 Å³ per atom. For the final energy, the calculation gives -273.259 eV/cell. As for the formation energy (no corrections): 0.710 eV/atom.


6.
The following is a DFT calculation (SCAN) of MgZnCd2 at its PBEsol-relaxed geometry.

POSCAR file:
```
MgZnCd2
1.0
-3.169 0.599 -0.372
-0.279 -3.068 -2.560
-1.224 -3.665 4.526
Zn Mg Cd
1 1 2
Cartesian
-2.336 -3.067 0.797 Zn
-1.724 -1.235 -1.466 Mg
-0.908 -2.721 3.360 Cd
-0.315 -0.944 1.166 Cd
```

Its space group is No. 47. The calculation puts the density of states at the Fermi level at 0.266 states/eV per atom. As for the volume: 19.34 Å³ per atom. For the final energy, the calculation gives -79.395 eV/cell. For the formation energy, the calculation gives -0.019 eV/atom.


7.
The following is a DFT calculation (SCAN) of CaBi2W at its PBEsol-relaxed geometry.

POSCAR file:
```
CaBi2W
1.0
6.675 0.000 0.000
3.338 5.715 0.000
3.338 0.000 5.715
Ca Bi W
2 4 2
Cartesian
3.338 0.000 0.000 Ca
5.006 2.857 2.857 Ca
7.509 0.234 2.623 Bi
7.509 5.481 3.091 Bi
9.178 2.623 5.481 Bi
2.503 3.091 0.234 Bi
0.000 0.000 0.000 W
8.344 2.857 2.857 W
```

Its space group is No. 122. The calculation puts the density of states at the Fermi level at 0.690 states/eV per atom. As for the volume: 27.25 Å³ per atom. For the final energy, the calculation gives -468.622 eV/cell. For the formation energy, the calculation gives 0.550 eV/atom.


8.
The following is a DFT calculation (SCAN) of CaY2Co at its PBEsol-relaxed geometry.

POSCAR file:
```
CaY2Co
1.0
3.353 0.033 0.000
-0.843 5.744 0.000
-1.255 -2.889 5.116
Y Ca Co
2 1 1
Cartesian
-0.628 -1.444 2.558 Y
0.628 1.444 2.558 Y
1.677 0.017 0.000 Ca
-0.422 2.872 0.000 Co
```

Its space group is No. 12. The calculation puts the density of states at the Fermi level at 1.069 states/eV per atom. As for the volume: 24.67 Å³ per atom. For the final energy, the calculation gives -80.655 eV/cell. For the formation energy, the calculation gives 0.500 eV/atom.


9.
The following is a DFT calculation (SCAN) of Cd2PbAu at its PBEsol-relaxed geometry.

POSCAR file:
```
Cd2PbAu
1.0
3.605 0.000 -0.033
0.000 4.565 0.000
-1.766 0.000 5.466
Pb Au Cd
1 1 2
Cartesian
-0.666 0.000 3.080 Pb
1.157 2.283 3.935 Au
2.936 0.000 0.140 Cd
1.135 2.283 0.978 Cd
```

Its space group is No. 6. The calculation puts the density of states at the Fermi level at 0.372 states/eV per atom. As for the volume: 22.42 Å³ per atom. For the final energy, the calculation gives -205.907 eV/cell. For the formation energy, the calculation gives -0.035 eV/atom.


10.
The following is a DFT calculation (SCAN) of RbMg3S at its PBEsol-relaxed geometry.

POSCAR file:
```
RbMg3S
1.0
-6.249 -0.600 -1.961
1.950 -3.689 -5.084
-0.636 -5.412 3.683
S Mg Rb
1 3 1
Cartesian
-2.467 -4.850 -1.681 S
0.975 -1.844 -2.542 Mg
-0.318 -2.706 1.841 Mg
-3.124 -0.300 -0.980 Mg
0.000 0.000 0.000 Rb
```

Its space group is No. 221. The calculation puts the density of states at the Fermi level at 1.372 states/eV per atom. As for the volume: 56.89 Å³ per atom. For the final energy, the calculation gives -38.841 eV/cell. As for the formation energy (no corrections): 1.290 eV/atom.


11.
The following is a DFT calculation (SCAN) of Tl2SbTeO at its PBEsol-relaxed geometry.

POSCAR file:
```
Tl2SbTeO
1.0
4.428 0.000 0.000
0.000 5.344 0.000
0.000 0.000 5.344
Sb Tl Te O
1 2 1 1
Cartesian
2.214 0.000 0.000 Sb
0.000 0.000 2.672 Tl
0.000 2.672 0.000 Tl
2.214 2.672 2.672 Te
0.000 0.000 0.000 O
```

Its space group is No. 123. The calculation puts the density of states at the Fermi level at 0.299 states/eV per atom. As for the volume: 25.29 Å³ per atom. For the final energy, the calculation gives -226.635 eV/cell. As for the formation energy (no corrections): -0.235 eV/atom.


12.
The following is a DFT calculation (SCAN) of CsScP2H2O8 at its PBEsol-relaxed geometry.

POSCAR file:
```
CsScP2H2O8
1.0
-2.676 -4.616 0.445
-0.589 -0.540 -9.141
13.190 -6.111 -0.489
Cs Sc P H O
4 4 8 8 32
Cartesian
0.438 -2.158 -4.552 Cs
3.181 -5.788 0.091 Cs
9.487 -9.109 -4.634 Cs
6.744 -5.478 -9.277 Cs
0.747 -2.598 -8.796 Sc
2.327 -5.847 -4.100 Sc
9.177 -8.669 -0.390 Sc
7.597 -5.420 -5.086 Sc
-1.205 -3.765 -1.123 P
4.647 -4.343 -6.072 P
11.129 -7.501 -8.063 P
5.278 -6.924 -3.114 P
3.334 -3.077 -2.320 P
-0.002 -5.132 -6.589 P
6.591 -8.190 -6.866 P
9.927 -6.134 -2.596 P
3.364 -3.137 -7.415 H
-0.095 -5.130 -2.469 H
6.561 -8.130 -1.771 H
10.020 -6.137 -6.717 H
5.162 -4.255 -2.796 H
-1.885 -4.004 -6.963 H
4.763 -7.011 -6.389 H
11.810 -7.263 -2.223 H
-1.052 -4.822 -0.036 O
4.626 -3.165 -5.105 O
10.976 -6.445 -9.150 O
5.298 -8.102 -4.080 O
10.542 -9.400 -1.768 O
6.062 -4.845 -6.354 O
-0.618 -1.866 -7.418 O
3.863 -6.422 -2.832 O
-0.263 -2.556 -0.922 O
3.747 -5.513 -5.611 O
10.187 -8.711 -8.264 O
6.177 -5.754 -3.574 O
4.105 -3.846 -7.490 O
-0.845 -4.429 -2.530 O
5.820 -7.421 -1.696 O
10.770 -6.838 -6.655 O
2.740 -2.910 -0.925 O
0.766 -5.139 -5.271 O
7.184 -8.356 -8.261 O
9.159 -6.128 -3.914 O
2.478 -3.953 -3.229 O
0.724 -4.375 -7.697 O
7.447 -7.313 -5.957 O
9.201 -6.892 -1.489 O
0.938 -6.307 -2.507 O
2.325 -1.965 -7.458 O
8.986 -4.960 -6.679 O
7.599 -9.302 -1.727 O
4.738 -3.793 -2.021 O
-1.362 -4.376 -6.199 O
5.187 -7.474 -7.164 O
11.287 -6.891 -2.986 O
```

Its space group is No. 14. The calculation puts the density of states at the Fermi level at 0.000 states/eV per atom. As for the volume: 12.70 Å³ per atom. For the final energy, the calculation gives -660.846 eV/cell.


13.
The following is a DFT calculation (SCAN) of CuTe at its PBEsol-relaxed geometry.

POSCAR file:
```
CuTe
1.0
-1.208 2.863 2.216
-1.616 -3.446 0.285
4.771 -1.826 4.961
Te Cu
2 2
Cartesian
1.980 -2.667 4.526 Te
-0.033 0.258 2.935 Te
-1.048 -1.508 1.377 Cu
2.995 -0.901 6.085 Cu
```

Its space group is No. 164. The calculation puts the density of states at the Fermi level at 0.506 states/eV per atom. As for the volume: 22.45 Å³ per atom. For the final energy, the calculation gives -105.194 eV/cell. As for the formation energy (no corrections): -0.073 eV/atom.


14.
The following is a DFT calculation (SCAN) of BeIn2Cl at its PBEsol-relaxed geometry.

POSCAR file:
```
BeIn2Cl
1.0
-1.519 2.080 1.650
-4.347 1.213 -2.991
-3.327 -2.901 3.135
Be Cl In
1 1 2
Cartesian
-4.596 0.196 0.897 Be
-0.760 1.040 0.825 Cl
-1.663 -1.451 1.567 In
-2.173 0.606 -1.495 In
```

Its space group is No. 12. The calculation puts the density of states at the Fermi level at 0.319 states/eV per atom. As for the volume: 20.97 Å³ per atom. For the final energy, the calculation gives -78.982 eV/cell. As for the formation energy (no corrections): 0.031 eV/atom.


15.
The following is a DFT calculation (SCAN) of Au3ClO at its PBEsol-relaxed geometry.

POSCAR file:
```
Au3ClO
1.0
4.447 0.000 0.000
0.000 4.447 0.000
0.000 0.000 4.447
Au O Cl
3 1 1
Cartesian
0.000 2.223 0.000 Au
0.000 0.000 2.223 Au
2.223 0.000 0.000 Au
0.000 0.000 0.000 O
2.223 2.223 2.223 Cl
```

Its space group is No. 221. The calculation puts the density of states at the Fermi level at 0.760 states/eV per atom. As for the volume: 17.58 Å³ per atom. For the final energy, the calculation gives -219.233 eV/cell. As for the formation energy (no corrections): 0.489 eV/atom.


16.
The following is a DFT calculation (SCAN) of Li4Ti3Co2Sn3O16 at its PBEsol-relaxed geometry.

POSCAR file:
```
Li4Ti3Co2Sn3O16
1.0
-3.453 2.651 4.195
-2.021 -3.233 4.722
7.833 2.385 5.077
Li Ti Co Sn O
4 3 2 3 16
Cartesian
-0.902 0.089 3.415 Li
-0.043 -0.051 0.216 Li
1.827 -1.962 7.309 Li
1.102 1.036 9.004 Li
5.151 1.705 5.477 Ti
-1.343 1.977 6.672 Ti
-0.686 -0.920 6.508 Ti
-3.598 -0.392 5.956 Co
2.114 1.007 5.562 Co
-2.260 0.125 8.839 Sn
4.262 0.186 7.890 Sn
3.545 3.074 7.578 Sn
2.532 1.283 7.676 O
5.301 1.950 7.491 O
5.307 1.616 3.521 O
1.446 0.479 1.014 O
2.501 1.654 12.154 O
2.252 0.758 3.545 O
-0.467 0.550 7.809 O
-1.509 0.122 5.333 O
1.179 -0.818 5.895 O
0.440 2.234 5.703 O
4.131 0.115 5.797 O
3.486 2.709 5.530 O
-2.368 -1.378 7.455 O
-3.036 1.271 7.259 O
4.186 0.220 9.963 O
3.418 3.315 9.657 O
```

Its space group is No. 1. As for the volume: 10.96 Å³ per atom. For the final energy, the calculation gives -362.599 eV/cell. As for the formation energy (no corrections): -2.246 eV/atom.


17.
The following is a DFT calculation (SCAN) of CuAs2Pt at its PBEsol-relaxed geometry.

POSCAR file:
```
CuAs2Pt
1.0
-1.597 0.224 -2.210
-2.792 -1.232 1.893
-1.608 6.390 1.789
As Pt Cu
2 1 1
Cartesian
-3.133 6.342 -0.492 As
-1.925 1.475 1.527 As
-4.139 4.168 0.014 Pt
-1.607 3.318 -0.211 Cu
```

Its space group is No. 6. The calculation puts the density of states at the Fermi level at 0.443 states/eV per atom. As for the volume: 16.77 Å³ per atom. For the final energy, the calculation gives -126.242 eV/cell. For the formation energy, the calculation gives -0.117 eV/atom.


18.
The following is a DFT calculation (SCAN) of LaTc2Se at its PBEsol-relaxed geometry.

POSCAR file:
```
LaTc2Se
1.0
3.063 0.000 0.000
1.532 2.653 0.000
1.532 0.884 8.825
La Se Tc
1 1 2
Cartesian
3.063 1.769 4.412 La
0.000 0.000 0.000 Se
1.532 0.884 1.766 Tc
4.595 2.653 7.059 Tc
```

Its space group is No. 166. The calculation puts the density of states at the Fermi level at 1.074 states/eV per atom. As for the volume: 17.93 Å³ per atom. For the final energy, the calculation gives -131.032 eV/cell. As for the formation energy (no corrections): 0.568 eV/atom.


19.
The following is a DFT calculation (SCAN) of Tl2MoSe at its PBEsol-relaxed geometry.

POSCAR file:
```
Tl2MoSe
1.0
-2.280 0.957 -2.700
-2.507 -2.336 1.289
-2.320 4.439 3.533
Mo Se Tl
1 1 2
Cartesian
-2.394 -0.689 -0.705 Mo
-3.554 1.530 1.061 Se
-1.768 3.383 2.693 Tl
-0.552 1.056 0.840 Tl
```

Its space group is No. 123. The calculation puts the density of states at the Fermi level at 0.563 states/eV per atom. As for the volume: 20.54 Å³ per atom. For the final energy, the calculation gives -196.867 eV/cell. As for the formation energy (no corrections): 0.703 eV/atom.


20.
The following is a DFT calculation (SCAN) of BeTe2Pt at its PBEsol-relaxed geometry.

POSCAR file:
```
BeTe2Pt
1.0
-0.260 -3.166 0.748
2.500 -0.674 -1.986
4.519 0.901 5.383
Be Te Pt
1 2 1
Cartesian
1.120 -1.920 -0.619 Be
3.434 0.685 4.091 Te
1.085 0.216 1.292 Te
3.380 -1.470 2.072 Pt
```

Its space group is No. 123. The calculation puts the density of states at the Fermi level at 0.603 states/eV per atom. As for the volume: 18.87 Å³ per atom. For the final energy, the calculation gives -146.952 eV/cell. As for the formation energy (no corrections): 0.524 eV/atom.